{
  "formula": "Li2ZrTe3",
  "functional": "GGA-PBE",
  "state": "optimized geometry",
  "cell": [[-3.102, -2.176, -6.101], [2.267, -4.834, 4.803], [-5.848, 2.510, 3.491]],
  "species": ["Li", "Li", "Li", "Li", "Te", "Te", "Te", "Te", "Te", "Te", "Zr", "Zr"],
  "fractional_positions": [[0.000, 0.000, 0.000], [0.833, 0.167, 0.500], [0.500, 0.500, 0.500], [0.167, 0.833, 0.500], [0.083, 0.422, 0.248], [0.578, 0.917, 0.752], [0.917, 0.578, 0.752], [0.256, 0.256, 0.752], [0.422, 0.083, 0.248], [0.744, 0.744, 0.248], [0.667, 0.333, 0.000], [0.333, 0.667, 0.000]],
  "rho_g_cm3": 5.30,
  "e_tot_ev_per_atom": -4.55
}